Entry 1:
# Mo2RhSe

A relaxed structure of Mo2RhSe (GGA-PBE, Alexandria via LeMat-Bulk).

a = 5.1363 Å, b = 5.1363 Å, c = 5.1363 Å
α = 136.79°, β = 136.79°, γ = 62.76°
Closest atoms and distances in Å follow each position.
Sites, in units of the cell vectors:
Mo1 0.5000 0.5000 0.0000  4 Mo 2.67, 4 Se 2.90, 4 Rh 2.90
Mo2 0.0000 0.0000 0.0000  4 Mo 2.67, 4 Rh 2.90, 4 Se 2.90
Rh1 0.2500 0.7500 0.5000  4 Se 2.67, 8 Mo 2.90
Se1 0.7500 0.2500 0.5000  4 Rh 2.67, 8 Mo 2.90

symmetry = No. 139
crystal system = tetragonal
E_form (uncorrected) = 269 meV/atom
DOS at the Fermi energy = 4.6 states/eV per cell

=====

Entry 2:
# BaReSe2

A relaxed structure of BaReSe2 (GGA-PBE, Alexandria via LeMat-Bulk).

a = 5.0254 Å, b = 5.0254 Å, c = 5.0254 Å
α = 60.00°, β = 60.00°, γ = 60.00°
Closest atoms and distances in Å follow each position.
Sites, in units of the cell vectors:
Ba1 0.0000 0.0000 0.0000  8 Se 3.08
Re1 0.5000 0.5000 0.5000  8 Se 3.08
Se1 0.2500 0.2500 0.2500  4 Re 3.08, 4 Ba 3.08
Se2 0.7500 0.7500 0.7500  4 Ba 3.08, 4 Re 3.08

symmetry = No. 225
crystal system = cubic
E_form (uncorrected) = 171 meV/atom
E above lowest polymorph = 673 meV/atom
DOS at the Fermi energy = 1.9 states/eV per cell